Entry 1:
Entry from Alexandria: a relaxed La4GaPb crystal (PBE).

Summary:
- distance to the lowest polymorph of the same formula (eV per atom) = 0.000
- SG = C2/c (15)
- VASP energy (eV per cell) = -58.0
- ΔH_f (0 K) (kJ per mole of atoms) = -41.4

Geometry as POSCAR:
```
La4GaPb
1.0
-6.097 1.533 -0.558
1.106 -8.588 -2.404
1.359 1.480 8.276
La Pb Ga
8 2 2
direct
0.930 0.780 0.171 La
0.231 0.293 0.365 La
0.741 0.391 0.171 La
0.635 0.072 0.365 La
0.259 0.609 0.829 La
0.070 0.220 0.829 La
0.769 0.707 0.635 La
0.365 0.928 0.635 La
0.368 0.618 0.237 Pb
0.632 0.382 0.763 Pb
0.749 0.999 0.998 Ga
0.251 0.001 0.002 Ga
```



Entry 2:
Entry from Alexandria: a relaxed LaGaPb crystal (PBE).

Summary:
- distance to the lowest polymorph of the same formula (eV per atom) = 0.343
- SG = P6_222 (180)
- VASP energy (eV per cell) = -73.9
- ΔH_f (0 K) (kJ per mole of atoms) = -21.1

Geometry as POSCAR:
```
LaGaPb
1.0
6.913 0.000 0.000
-3.456 5.987 0.000
0.000 0.000 13.606
Pb Ga La
6 6 6
direct
0.000 0.000 0.833 Pb
0.000 0.000 0.500 Pb
0.000 0.500 0.333 Pb
0.500 0.500 0.000 Pb
0.000 0.000 0.167 Pb
0.500 0.000 0.667 Pb
0.601 0.399 0.500 Ga
0.399 0.601 0.500 Ga
0.202 0.601 0.833 Ga
0.601 0.202 0.167 Ga
0.798 0.399 0.833 Ga
0.399 0.798 0.167 Ga
0.500 0.500 0.284 La
0.500 0.000 0.382 La
0.000 0.500 0.618 La
0.500 0.500 0.716 La
0.500 0.000 0.951 La
0.000 0.500 0.049 La
```



Entry 3:
Entry from Alexandria: a relaxed La5Ga2Pb crystal (PBE).

Summary:
- SG = I4/mcm (140)
- VASP energy (eV per cell) = -76.9
- ΔH_f (0 K) (kJ per mole of atoms) = -49.1

Geometry as POSCAR:
```
La5Ga2Pb
1.0
7.751 0.000 -3.659
-1.727 7.556 -3.659
-0.433 -0.544 9.122
La Ga Pb
10 4 2
direct
0.691 0.191 0.711 La
0.980 0.480 0.289 La
0.809 0.980 0.289 La
0.480 0.309 0.289 La
0.520 0.691 0.711 La
0.500 0.500 0.000 La
0.020 0.520 0.711 La
0.191 0.020 0.711 La
0.309 0.809 0.289 La
0.000 0.000 0.000 La
0.868 0.632 0.000 Ga
0.368 0.868 0.000 Ga
0.632 0.132 0.000 Ga
0.132 0.368 0.000 Ga
0.250 0.250 0.500 Pb
0.750 0.750 0.500 Pb
```



- Which value of ΔH_f (0 K) does entry 1 give?
  -41.4 kJ per mole of atoms



Copy entry 3 word for word.
Entry from Alexandria: a relaxed La5Ga2Pb crystal (PBE).

Summary:
- SG = I4/mcm (140)
- VASP energy (eV per cell) = -76.9
- ΔH_f (0 K) (kJ per mole of atoms) = -49.1

Geometry as POSCAR:
```
La5Ga2Pb
1.0
7.751 0.000 -3.659
-1.727 7.556 -3.659
-0.433 -0.544 9.122
La Ga Pb
10 4 2
direct
0.691 0.191 0.711 La
0.980 0.480 0.289 La
0.809 0.980 0.289 La
0.480 0.309 0.289 La
0.520 0.691 0.711 La
0.500 0.500 0.000 La
0.020 0.520 0.711 La
0.191 0.020 0.711 La
0.309 0.809 0.289 La
0.000 0.000 0.000 La
0.868 0.632 0.000 Ga
0.368 0.868 0.000 Ga
0.632 0.132 0.000 Ga
0.132 0.368 0.000 Ga
0.250 0.250 0.500 Pb
0.750 0.750 0.500 Pb
```



- Which value of VASP energy does entry 2 give?
  -73.9 eV per cell



- Which value of VASP energy does entry 2 give?
  -73.9 eV per cell